# PmNdBeAl

PmNdBeAl after structural relaxation (PBE, Alexandria).

The structure in extended XYZ format:
```
4
Lattice="5.1365 0.0000 0.0000 2.5682 4.4483 0.0000 2.5682 1.4828 4.1939" Properties=species:S:1:pos:R:3 pbc="T T T"
Be 7.7047 4.4483 3.1454
Nd 0.0000 0.0000 0.0000
Al 2.5682 1.4828 1.0485
Pm 5.1365 2.9655 2.0970
```

Values from the calculation:
The formation energy is -54 meV per atom. As for the total magnetization: 0.0 μB per cell.